Record 1
A plane-wave DFT calculation with GGA-PBE was carried out for a relaxed structure of Hf12ReSb6.

total magnetization = 0.00 μB per formula unit
formation energy without anion corrections = -49.4 meV per atom
density = 10.88 Mg/m³
crystal system = trigonal
E_tot = -157.562 eV/f.u.

The structure in POSCAR format:
```
Hf12ReSb6
1.0
6.180 3.568 3.530
-6.180 3.568 3.530
0.000 -7.136 3.530
Hf Re Sb
12 1 6
direct
0.004 0.675 0.949 Hf
0.051 0.996 0.325 Hf
0.213 0.397 0.512 Hf
0.325 0.051 0.996 Hf
0.397 0.512 0.213 Hf
0.488 0.787 0.603 Hf
0.512 0.213 0.397 Hf
0.603 0.488 0.787 Hf
0.675 0.949 0.004 Hf
0.787 0.603 0.488 Hf
0.949 0.004 0.675 Hf
0.996 0.325 0.051 Hf
0.000 0.000 0.000 Re
0.111 0.658 0.341 Sb
0.341 0.111 0.658 Sb
0.342 0.659 0.889 Sb
0.658 0.341 0.111 Sb
0.659 0.889 0.342 Sb
0.889 0.342 0.659 Sb
```

Record 2
A plane-wave DFT calculation with GGA-PBE was carried out for a relaxed structure of CoPtBr5.

total magnetization = 3.03 μB per formula unit
formation energy without anion corrections = -224.7 meV per atom
density = 5.37 Mg/m³
crystal system = monoclinic
E_tot = -23.084 eV/f.u.

The structure in POSCAR format:
```
CoPtBr5
1.0
4.954 -4.465 0.000
4.954 4.465 0.000
-3.655 0.000 9.128
Co Pt Br
2 2 10
direct
0.046 0.954 0.750 Co
0.954 0.046 0.250 Co
0.000 0.500 0.000 Pt
0.500 0.000 0.500 Pt
0.171 0.630 0.846 Br
0.190 0.242 0.480 Br
0.238 0.762 0.250 Br
0.242 0.190 0.980 Br
0.370 0.829 0.654 Br
0.630 0.171 0.346 Br
0.758 0.810 0.020 Br
0.762 0.238 0.750 Br
0.810 0.758 0.520 Br
0.829 0.370 0.154 Br
```

Record 3
A plane-wave DFT calculation with GGA-PBE was carried out for a relaxed structure of AcGa4Au.

total magnetization = 0.00 μB per formula unit
density = 8.85 Mg/m³
crystal system = cubic
E_tot = -20.939 eV/f.u.

The structure in POSCAR format:
```
AcGa4Au
1.0
0.000 4.041 4.041
4.041 0.000 4.041
4.041 4.041 0.000
Ac Ga Au
1 4 1
direct
0.000 0.000 0.000 Ac
0.375 0.375 0.375 Ga
0.375 0.375 0.874 Ga
0.375 0.874 0.375 Ga
0.874 0.375 0.375 Ga
0.750 0.750 0.750 Au
```

Record 4
A plane-wave DFT calculation with GGA-PBE was carried out for a relaxed structure of MnHPt2S.

total magnetization = 4.57 μB per formula unit
density = 11.76 Mg/m³
crystal system = tetragonal
E_tot = -27.720 eV/f.u.

The structure in POSCAR format:
```
MnHPt2S
1.0
3.855 0.000 0.000
0.000 3.855 0.000
0.000 0.000 4.545
Mn H Pt S
1 1 2 1
direct
0.000 0.000 0.000 Mn
0.500 0.500 0.500 H
0.000 0.500 0.500 Pt
0.500 0.000 0.500 Pt
0.500 0.500 0.000 S
```

Record 5
A plane-wave DFT calculation with GGA-PBE was carried out for a relaxed structure of NdEr14Hf.

total magnetization = 0.01 μB per formula unit
density = 9.10 Mg/m³
crystal system = orthorhombic
E_tot = -77.319 eV/f.u.

The structure in POSCAR format:
```
NdEr14Hf
1.0
10.883 0.000 0.000
0.000 4.074 5.485
0.000 -4.074 5.485
Nd Er Hf
1 14 1
direct
0.000 0.000 0.000 Nd
0.000 0.070 0.478 Er
0.000 0.478 0.070 Er
0.227 0.760 0.760 Er
0.242 0.281 0.691 Er
0.242 0.691 0.281 Er
0.273 0.206 0.206 Er
0.500 0.420 0.420 Er
0.500 0.493 0.900 Er
0.500 0.900 0.493 Er
0.500 0.968 0.968 Er
0.727 0.206 0.206 Er
0.758 0.281 0.691 Er
0.758 0.691 0.281 Er
0.773 0.760 0.760 Er
0.000 0.555 0.555 Hf
```

Record 6
A plane-wave DFT calculation with GGA-PBE was carried out for a relaxed structure of TiPS2I.

total magnetization = 0.18 μB per formula unit
offset from the most stable computed form = 1272 meV per atom
formation energy without anion corrections = 1208.6 meV per atom
density = 3.54 Mg/m³
crystal system = tetragonal
E_tot = -17.067 eV/f.u.

The structure in POSCAR format:
```
TiPS2I
1.0
4.947 0.000 0.000
0.000 4.947 0.000
0.000 0.000 5.168
Ti P S I
1 1 2 1
direct
0.000 0.000 0.000 Ti
0.500 0.500 0.000 P
0.000 0.500 0.500 S
0.500 0.000 0.500 S
0.500 0.500 0.500 I
```

Record 7
A plane-wave DFT calculation with GGA-PBE was carried out for a relaxed structure of Dy4Ga12Rh.

total magnetization = 0.00 μB per formula unit
density = 8.27 Mg/m³
crystal system = cubic
E_tot = -72.670 eV/f.u.

The structure in POSCAR format:
```
Dy4Ga12Rh
1.0
-4.306 4.306 4.306
4.306 -4.306 4.306
4.306 4.306 -4.306
Dy Ga Rh
4 12 1
direct
0.000 0.000 0.500 Dy
0.000 0.500 0.000 Dy
0.500 0.000 0.000 Dy
0.500 0.500 0.500 Dy
0.000 0.292 0.292 Ga
0.000 0.708 0.708 Ga
0.250 0.500 0.750 Ga
0.250 0.750 0.500 Ga
0.292 0.000 0.292 Ga
0.292 0.292 0.000 Ga
0.500 0.250 0.750 Ga
0.500 0.750 0.250 Ga
0.708 0.000 0.708 Ga
0.708 0.708 0.000 Ga
0.750 0.250 0.500 Ga
0.750 0.500 0.250 Ga
0.000 0.000 0.000 Rh
```

Record 8
A plane-wave DFT calculation with GGA-PBE was carried out for a relaxed structure of Ce3AgN.

total magnetization = 2.19 μB per formula unit
formation energy without anion corrections = -570.8 meV per atom
density = 7.78 Mg/m³
crystal system = cubic
E_tot = -31.832 eV/f.u.

The structure in POSCAR format:
```
Ce3AgN
1.0
4.873 0.000 0.000
0.000 4.873 0.000
0.000 0.000 4.873
Ce Ag N
3 1 1
direct
0.000 0.000 0.500 Ce
0.000 0.500 0.000 Ce
0.500 0.000 0.000 Ce
0.500 0.500 0.500 Ag
0.000 0.000 0.000 N
```

Record 9
A plane-wave DFT calculation with GGA-PBE was carried out for a relaxed structure of ZrMoC2.

total magnetization = 0.00 μB per formula unit
offset from the most stable computed form = 767 meV per atom
density = 6.53 Mg/m³
crystal system = monoclinic
E_tot = -36.205 eV/f.u.

The structure in POSCAR format:
```
ZrMoC2
1.0
6.190 0.000 0.000
0.000 6.160 0.000
-1.666 0.000 2.819
Zr Mo C
2 2 4
direct
0.000 0.000 0.000 Zr
0.500 0.500 0.000 Zr
0.000 0.500 0.000 Mo
0.500 0.000 0.000 Mo
0.250 0.250 0.000 C
0.250 0.750 0.000 C
0.750 0.250 0.000 C
0.750 0.750 0.000 C
```

Record 10
A plane-wave DFT calculation with GGA-PBE was carried out for a relaxed structure of CaV3Ru.

total magnetization = 6.11 μB per formula unit
offset from the most stable computed form = 0 meV per atom
density = 4.59 Mg/m³
crystal system = cubic
E_tot = -35.026 eV/f.u.

The structure in POSCAR format:
```
CaV3Ru
1.0
4.738 0.000 0.000
0.000 4.738 0.000
0.000 0.000 4.738
Ca V Ru
1 3 1
direct
0.000 0.000 0.000 Ca
0.000 0.500 0.500 V
0.500 0.000 0.500 V
0.500 0.500 0.000 V
0.500 0.500 0.500 Ru
```

Record 11
A plane-wave DFT calculation with GGA-PBE was carried out for a relaxed structure of Cs2AgPtW.

total magnetization = 4.70 μB per formula unit
density = 6.76 Mg/m³
crystal system = tetragonal
E_tot = -14.186 eV/f.u.

The structure in POSCAR format:
```
Cs2AgPtW
1.0
6.034 0.000 0.000
0.000 6.034 0.000
0.000 0.000 5.080
Cs Ag Pt W
2 1 1 1
direct
0.000 0.500 0.000 Cs
0.500 0.000 0.000 Cs
0.000 0.000 0.500 Ag
0.500 0.500 0.500 Pt
0.000 0.000 0.000 W
```

Record 12
A plane-wave DFT calculation with GGA-PBE was carried out for a relaxed structure of ZnIrW2.

total magnetization = 0.00 μB per formula unit
density = 16.83 Mg/m³
crystal system = trigonal
E_tot = -35.580 eV/f.u.

The structure in POSCAR format:
```
ZnIrW2
1.0
2.795 0.000 0.000
-1.398 2.421 0.000
0.000 0.000 27.343
Zn Ir W
3 3 6
direct
0.000 0.000 0.000 Zn
0.333 0.667 0.667 Zn
0.667 0.333 0.333 Zn
0.000 0.000 0.500 Ir
0.333 0.667 0.167 Ir
0.667 0.333 0.833 Ir
0.000 0.000 0.249 W
0.000 0.000 0.751 W
0.333 0.667 0.418 W
0.333 0.667 0.915 W
0.667 0.333 0.085 W
0.667 0.333 0.582 W
```

Record 13
A plane-wave DFT calculation with GGA-PBE was carried out for a relaxed structure of CdNiGe2.

total magnetization = 0.00 μB per formula unit
density = 6.89 Mg/m³
crystal system = tetragonal
E_tot = -15.333 eV/f.u.

The structure in POSCAR format:
```
CdNiGe2
1.0
4.344 0.000 0.000
0.000 4.344 0.000
0.000 0.000 16.164
Cd Ni Ge
4 4 8
direct
0.000 0.000 0.000 Cd
0.000 0.500 0.250 Cd
0.500 0.000 0.750 Cd
0.500 0.500 0.500 Cd
0.000 0.000 0.500 Ni
0.000 0.500 0.750 Ni
0.500 0.000 0.250 Ni
0.500 0.500 0.000 Ni
0.173 0.250 0.625 Ge
0.250 0.673 0.875 Ge
0.250 0.827 0.375 Ge
0.327 0.250 0.125 Ge
0.673 0.750 0.125 Ge
0.750 0.173 0.375 Ge
0.750 0.327 0.875 Ge
0.827 0.750 0.625 Ge
```

Record 14
A plane-wave DFT calculation with GGA-PBE was carried out for a relaxed structure of Cs2MoAsPt.

total magnetization = 5.31 μB per formula unit
density = 4.55 Mg/m³
crystal system = tetragonal
E_tot = -19.293 eV/f.u.

The structure in POSCAR format:
```
Cs2MoAsPt
1.0
7.089 0.000 0.000
0.000 7.089 0.000
0.000 0.000 4.593
Cs Mo As Pt
2 1 1 1
direct
0.000 0.500 0.000 Cs
0.500 0.000 0.000 Cs
0.000 0.000 0.500 Mo
0.500 0.500 0.500 As
0.500 0.500 0.000 Pt
```

Record 15
A plane-wave DFT calculation with GGA-PBE was carried out for a relaxed structure of Cu2NiRu.

total magnetization = 0.00 μB per formula unit
offset from the most stable computed form = 63 meV per atom
density = 9.63 Mg/m³
crystal system = monoclinic
E_tot = -22.528 eV/f.u.

The structure in POSCAR format:
```
Cu2NiRu
1.0
2.525 0.000 0.000
0.000 3.990 0.000
-1.256 0.000 4.909
Cu Ni Ru
2 1 1
direct
0.000 0.000 0.000 Cu
0.398 0.500 0.793 Cu
0.150 0.500 0.287 Ni
0.744 0.000 0.481 Ru
```

Record 16
A plane-wave DFT calculation with GGA-PBE was carried out for a relaxed structure of IrAu2Cl.

total magnetization = 1.16 μB per formula unit
offset from the most stable computed form = 526 meV per atom
formation energy without anion corrections = 874.3 meV per atom
density = 14.39 Mg/m³
crystal system = cubic
E_tot = -13.765 eV/f.u.

The structure in POSCAR format:
```
IrAu2Cl
1.0
6.596 0.000 0.000
0.000 6.596 0.000
0.000 0.000 6.596
Ir Au Cl
4 8 4
direct
0.000 0.000 0.000 Ir
0.000 0.500 0.500 Ir
0.500 0.000 0.500 Ir
0.500 0.500 0.000 Ir
0.250 0.250 0.250 Au
0.250 0.250 0.750 Au
0.250 0.750 0.250 Au
0.250 0.750 0.750 Au
0.750 0.250 0.250 Au
0.750 0.250 0.750 Au
0.750 0.750 0.250 Au
0.750 0.750 0.750 Au
0.000 0.000 0.500 Cl
0.000 0.500 0.000 Cl
0.500 0.000 0.000 Cl
0.500 0.500 0.500 Cl
```

Record 17
A plane-wave DFT calculation with GGA-PBE was carried out for a relaxed structure of Tl3IClF.

total magnetization = 0.00 μB per formula unit
formation energy without anion corrections = -1137.5 meV per atom
density = 6.37 Mg/m³
crystal system = monoclinic
E_tot = -19.192 eV/f.u.

The structure in POSCAR format:
```
Tl3IClF
1.0
8.990 0.000 0.000
0.000 4.680 0.000
-2.874 0.000 9.844
Tl I Cl F
6 2 2 2
direct
0.003 0.250 0.305 Tl
0.308 0.250 0.953 Tl
0.452 0.750 0.643 Tl
0.548 0.250 0.357 Tl
0.692 0.750 0.047 Tl
0.997 0.750 0.695 Tl
0.242 0.750 0.214 I
0.758 0.250 0.786 I
0.198 0.250 0.593 Cl
0.802 0.750 0.407 Cl
0.424 0.750 0.880 F
0.576 0.250 0.120 F
```

Record 18
A plane-wave DFT calculation with GGA-PBE was carried out for a relaxed structure of Cs2LiTh2Te6.

total magnetization = 0.00 μB per formula unit
formation energy without anion corrections = -1074.5 meV per atom
density = 5.09 Mg/m³
crystal system = monoclinic
E_tot = -49.130 eV/f.u.

The structure in POSCAR format:
```
Cs2LiTh2Te6
1.0
3.939 -6.762 0.000
3.939 6.762 0.000
-2.545 0.000 9.204
Cs Li Th Te
2 1 2 6
direct
0.165 0.835 0.000 Cs
0.835 0.165 0.000 Cs
0.000 0.000 0.500 Li
0.332 0.668 0.500 Th
0.668 0.332 0.500 Th
0.066 0.398 0.690 Te
0.278 0.278 0.309 Te
0.398 0.066 0.690 Te
0.602 0.934 0.310 Te
0.722 0.722 0.691 Te
0.934 0.602 0.310 Te
```

Record 19
A plane-wave DFT calculation with GGA-PBE was carried out for a relaxed structure of Zn2Ga3Cu7.

total magnetization = 0.00 μB per formula unit
offset from the most stable computed form = 0 meV per atom
density = 7.54 Mg/m³
crystal system = orthorhombic
E_tot = -40.209 eV/f.u.

The structure in POSCAR format:
```
Zn2Ga3Cu7
1.0
2.104 -9.806 0.000
2.104 9.806 0.000
0.000 0.000 4.187
Zn Ga Cu
2 3 7
direct
0.151 0.849 0.000 Zn
0.849 0.151 0.000 Zn
0.344 0.656 0.500 Ga
0.500 0.500 0.500 Ga
0.656 0.344 0.500 Ga
0.000 0.000 0.000 Cu
0.073 0.927 0.500 Cu
0.281 0.719 0.000 Cu
0.425 0.575 0.000 Cu
0.575 0.425 0.000 Cu
0.719 0.281 0.000 Cu
0.927 0.073 0.500 Cu
```

Record 20
A plane-wave DFT calculation with GGA-PBE was carried out for a relaxed structure of Ca12Ac6La.

total magnetization = 0.00 μB per formula unit
density = 3.96 Mg/m³
crystal system = trigonal
E_tot = -51.360 eV/f.u.

The structure in POSCAR format:
```
Ca12Ac6La
1.0
7.370 4.255 4.416
-7.370 4.255 4.416
0.000 -8.510 4.416
Ca Ac La
12 6 1
direct
0.000 0.260 0.740 Ca
0.000 0.740 0.260 Ca
0.178 0.597 0.597 Ca
0.260 0.000 0.740 Ca
0.260 0.740 0.000 Ca
0.403 0.403 0.822 Ca
0.403 0.822 0.403 Ca
0.597 0.178 0.597 Ca
0.597 0.597 0.178 Ca
0.740 0.000 0.260 Ca
0.740 0.260 0.000 Ca
0.822 0.403 0.403 Ca
0.153 0.153 0.411 Ac
0.153 0.411 0.153 Ac
0.411 0.153 0.153 Ac
0.589 0.847 0.847 Ac
0.847 0.589 0.847 Ac
0.847 0.847 0.589 Ac
0.000 0.000 0.000 La
```

Record 21
A plane-wave DFT calculation with GGA-PBE was carried out for a relaxed structure of Pm5MgCd3.

total magnetization = 0.00 μB per formula unit
density = 6.86 Mg/m³
crystal system = hexagonal
E_tot = -29.721 eV/f.u.

The structure in POSCAR format:
```
Pm5MgCd3
1.0
9.424 0.000 0.000
-4.712 8.161 0.000
0.000 0.000 6.843
Pm Mg Cd
10 2 6
direct
0.000 0.312 0.250 Pm
0.000 0.688 0.750 Pm
0.312 0.000 0.250 Pm
0.312 0.312 0.750 Pm
0.333 0.667 0.000 Pm
0.333 0.667 0.500 Pm
0.667 0.333 0.000 Pm
0.667 0.333 0.500 Pm
0.688 0.000 0.750 Pm
0.688 0.688 0.250 Pm
0.000 0.000 0.000 Mg
0.000 0.000 0.500 Mg
0.000 0.349 0.750 Cd
0.000 0.651 0.250 Cd
0.349 0.000 0.750 Cd
0.349 0.349 0.250 Cd
0.651 0.000 0.250 Cd
0.651 0.651 0.750 Cd
```

Record 22
A plane-wave DFT calculation with GGA-PBE was carried out for a relaxed structure of TbEuFe4.

total magnetization = 0.54 μB per formula unit
density = 9.08 Mg/m³
crystal system = cubic
E_tot = -48.268 eV/f.u.

The structure in POSCAR format:
```
TbEuFe4
1.0
0.000 3.655 3.655
3.655 0.000 3.655
3.655 3.655 0.000
Tb Eu Fe
1 1 4
direct
0.000 0.000 0.000 Tb
0.750 0.750 0.750 Eu
0.374 0.374 0.374 Fe
0.374 0.374 0.877 Fe
0.374 0.877 0.374 Fe
0.877 0.374 0.374 Fe
```

Record 23
A plane-wave DFT calculation with GGA-PBE was carried out for a relaxed structure of Sc6SiTe3P2.

total magnetization = 0.00 μB per formula unit
formation energy without anion corrections = -1246.4 meV per atom
density = 4.61 Mg/m³
crystal system = monoclinic
E_tot = -78.614 eV/f.u.

The structure in POSCAR format:
```
Sc6SiTe3P2
1.0
8.755 -1.962 0.000
8.755 1.962 0.000
-2.145 0.000 7.784
Sc Si Te P
6 1 3 2
direct
0.009 0.009 0.231 Sc
0.323 0.323 0.440 Sc
0.341 0.341 0.891 Sc
0.659 0.659 0.109 Sc
0.677 0.677 0.560 Sc
0.991 0.991 0.769 Sc
0.500 0.500 0.000 Si
0.167 0.167 0.833 Te
0.500 0.500 0.500 Te
0.833 0.833 0.167 Te
0.167 0.167 0.335 P
0.833 0.833 0.665 P
```